A relaxed structure of Na5Mn2P2C2O14. Source: Alexandria via LeMat-Bulk, functional PBE+U.

Cell and atoms, written as POSCAR:
```
Na5Mn2P2C2O14
1.0
6.676 0.000 0.000
-0.120 9.061 0.000
-0.018 -0.082 15.803
Na Mn P C O
15 6 6 6 42
direct
0.000 0.000 0.000
0.000 0.478 0.168
0.002 0.964 0.347
0.005 0.509 0.494
0.007 0.999 0.674
0.253 0.819 0.165
0.264 0.808 0.834
0.488 0.999 0.667
0.494 0.004 0.005
0.504 0.966 0.348
0.505 0.508 0.498
0.516 0.477 0.171
0.738 0.653 0.686
0.740 0.654 0.003
0.993 0.475 0.840
0.258 0.374 0.347
0.258 0.387 0.682
0.262 0.385 0.008
0.741 0.100 0.825
0.754 0.091 0.164
0.759 0.100 0.496
0.244 0.154 0.849
0.254 0.153 0.189
0.255 0.168 0.522
0.755 0.325 0.648
0.757 0.309 0.323
0.757 0.321 0.991
0.248 0.674 0.666
0.250 0.682 0.000
0.257 0.659 0.322
0.754 0.800 0.172
0.754 0.807 0.845
0.754 0.815 0.522
0.057 0.055 0.827
0.068 0.057 0.165
0.070 0.074 0.495
0.235 0.304 0.805
0.242 0.603 0.931
0.245 0.815 0.676
0.246 0.825 0.996
0.247 0.190 0.622
0.249 0.605 0.595
0.252 0.176 0.948
0.253 0.800 0.318
0.255 0.593 0.735
0.256 0.177 0.288
0.256 0.304 0.144
0.258 0.322 0.480
0.258 0.576 0.255
0.260 0.590 0.395
0.264 0.616 0.073
0.428 0.062 0.821
0.438 0.058 0.164
0.446 0.079 0.501
0.565 0.419 0.662
0.570 0.398 0.350
0.575 0.414 0.018
0.736 0.885 0.914
0.739 0.875 0.772
0.746 0.175 0.694
0.749 0.881 0.103
0.752 0.871 0.244
0.753 0.886 0.449
0.754 0.152 0.362
0.754 0.899 0.589
0.756 0.170 0.037
0.756 0.675 0.526
0.757 0.292 0.224
0.759 0.291 0.894
0.761 0.659 0.164
0.774 0.297 0.550
0.783 0.668 0.847
0.937 0.422 0.677
0.944 0.416 0.015
0.947 0.398 0.350
```

Computed properties:
Total moment = 9.00 μB per formula unit
DFT total energy = -506.61 eV/cell